{"formula": "NiBO3", "functional": "PBE+U", "state": "optimized geometry", "n_ef_per_ev_atom": 0.72, "spacegroup": "No. 221", "lattice": [[-2.968, 2.054, 0.128], [-1.024, -1.279, -3.219], [-1.785, -2.682, 1.633]], "species": ["B", "Ni", "O", "O", "O"], "fractional_positions": [[0.500, 0.500, 0.500], [0.000, 0.000, 0.000], [0.500, 0.000, 0.000], [0.000, 0.000, 0.500], [0.000, 0.500, 0.000]]}

{"formula": "NiBO2", "functional": "PBE+U", "state": "optimized geometry", "n_ef_per_ev_atom": 0.12, "spacegroup": "No. 12", "lattice": [[-2.570, -0.095, 1.275], [2.550, -5.176, 1.525], [1.459, 3.632, 3.211]], "species": ["O", "O", "O", "O", "Ni", "Ni", "B", "B"], "fractional_positions": [[0.675, 0.350, 0.765], [0.325, 0.650, 0.235], [0.409, 0.819, 0.760], [0.591, 0.181, 0.240], [0.871, 0.742, 0.010], [0.129, 0.258, 0.990], [0.317, 0.634, 0.502], [0.683, 0.366, 0.498]]}

{"formula": "NiBO3", "functional": "PBE+U", "state": "optimized geometry", "spacegroup": "No. 11", "lattice": [[-1.247, -2.168, -0.965], [5.752, -2.910, -0.900], [-0.594, -1.920, 5.082]], "species": ["O", "O", "O", "O", "O", "O", "Ni", "Ni", "B", "B"], "fractional_positions": [[0.250, 0.669, 0.410], [0.750, 0.331, 0.590], [0.250, 0.345, 0.088], [0.750, 0.655, 0.912], [0.250, 0.020, 0.662], [0.750, 0.980, 0.338], [0.750, 0.506, 0.232], [0.250, 0.494, 0.768], [0.250, 0.884, 0.414], [0.750, 0.116, 0.586]]}

| no. | electronic total energy (eV per atom) |
| --- | --- |
| 1 | -3.90 |
| 2 | -6.05 |
| 3 | -6.17 |